a.
## LaY2Th (GGA-PBE)

Data for crystalline LaY2Th at its relaxed geometry.

Calculated values
SG   Pmmm, No. 47
V   33.44 A^3/atom
D(E_F)   1.229 states/eV/atom

Lattice parameters (Å, degrees): 5.0570 7.2562 7.2914 90.00 90.01 90.00
Positions (direct):
Th  0.0000  0.7500  0.4999
Th  0.0000  0.2500  0.5001
La  0.0000  0.7500  0.9998
La  0.0000  0.2500  0.0002
Y  0.5001  0.5000  0.7420
Y  0.4999  0.0000  0.2580
Y  0.4999  0.5000  0.2580
Y  0.5001  0.0000  0.7420

b.
## LaY2Th (GGA-PBE)

Data for crystalline LaY2Th at its relaxed geometry.

Calculated values
SG   Fm-3m, No. 225
V   33.61 A^3/atom
D(E_F)   1.863 states/eV/atom

Lattice parameters (Å, degrees): 5.7499 5.7499 5.7499 60.00 60.00 60.00
Positions (direct):
Y  0.7500  0.7500  0.7500
Y  0.2500  0.2500  0.2500
La  0.5000  0.5000  0.5000
Th  0.0000  0.0000  0.0000

c.
## LaY2Th (GGA-PBE)

Data for crystalline LaY2Th at its relaxed geometry.

Calculated values
SG   R3m, No. 160
V   33.33 A^3/atom
D(E_F)   1.532 states/eV/atom

Lattice parameters (Å, degrees): 3.6206 3.6206 11.9282 81.27 81.27 60.00
Positions (direct):
La  0.5004  0.5004  0.4988
Y  0.2536  0.2536  0.2391
Y  0.0794  0.0794  0.7617
Th  0.6665  0.6665  0.0004

d.
## LaY2Th (GGA-PBE)

Data for crystalline LaY2Th at its relaxed geometry.

Calculated values
SG   P4/mmm, No. 123
V   33.31 A^3/atom
D(E_F)   1.170 states/eV/atom

Lattice parameters (Å, degrees): 5.0339 5.1448 5.1448 90.00 90.00 90.00
Positions (direct):
Y  0.0000  0.5000  0.0000
Y  0.0000  0.0000  0.5000
La  0.5000  0.0000  0.0000
Th  0.5000  0.5000  0.5000

Computed stability ranking, most favorable first: c, a, d, b

a.
## La3Y4Th (GGA-PBE)

Data for crystalline La3Y4Th at its relaxed geometry.

Calculated values
SG   Immm, No. 71
V   34.37 A^3/atom
D(E_F)   1.607 states/eV/atom

Lattice parameters (Å, degrees): 3.4797 9.0861 9.0861 81.68 78.96 78.96
Positions (direct):
La  0.0000  0.5000  0.5000
La  0.2300  0.7700  0.7700
La  0.7700  0.2300  0.2300
Th  0.5000  0.0000  0.0000
Y  0.3674  0.8816  0.3836
Y  0.6326  0.1184  0.6164
Y  0.3674  0.3836  0.8816
Y  0.6326  0.6164  0.1184

b.
## La3Y4Th (GGA-PBE)

Data for crystalline La3Y4Th at its relaxed geometry.

Calculated values
SG   Cmmm, No. 65
V   34.88 A^3/atom
D(E_F)   2.220 states/eV/atom

Lattice parameters (Å, degrees): 3.4285 9.0547 9.0547 96.88 90.00 90.00
Positions (direct):
La  0.0000  0.0000  0.5000
La  0.0000  0.5000  0.0000
La  0.5000  0.5000  0.5000
Y  0.0000  0.2391  0.2391
Y  0.0000  0.7609  0.7609
Y  0.5000  0.7533  0.2467
Y  0.5000  0.2467  0.7533
Th  0.5000  0.0000  0.0000

Computed stability ranking, most favorable first: a, b

a.
## La2Y4Th (GGA-PBE)

Data for crystalline La2Y4Th at its relaxed geometry.

Calculated values
SG   Cm, No. 8
V   33.69 A^3/atom
D(E_F)   1.829 states/eV/atom

Lattice parameters (Å, degrees): 3.6374 3.6428 20.6475 95.09 90.00 119.95
Positions (direct):
Y  0.4316  0.8632  0.5275
Y  0.5233  0.0466  0.8087
Y  0.0000  0.0000  0.2402
Y  0.9022  0.8044  0.9469
La  0.7152  0.4304  0.3826
La  0.6225  0.2450  0.0941
Th  0.8066  0.6132  0.6680

b.
## La2Y4Th (GGA-PBE)

Data for crystalline La2Y4Th at its relaxed geometry.

Calculated values
SG   R-3m, No. 166
V   34.04 A^3/atom
D(E_F)   1.507 states/eV/atom

Lattice parameters (Å, degrees): 3.5937 3.5937 21.4087 85.19 85.19 60.00
Positions (direct):
Y  0.1440  0.1440  0.5680
Y  0.2901  0.2901  0.1298
Y  0.8560  0.8560  0.4320
Y  0.7099  0.7099  0.8702
La  0.7642  0.7642  0.7074
La  0.2358  0.2358  0.2926
Th  0.0000  0.0000  0.0000

Computed stability ranking, most favorable first: a, b

a.
## La3Y3Th2 (GGA-PBE)

Data for crystalline La3Y3Th2 at its relaxed geometry.

Calculated values
SG   P-1, No. 2
V   34.59 A^3/atom
D(E_F)   1.654 states/eV/atom

Lattice parameters (Å, degrees): 5.9034 6.1400 8.7186 69.85 70.21 90.05
Positions (direct):
La  0.1431  0.7004  0.7133
La  0.0000  0.0000  0.0000
La  0.8569  0.2996  0.2867
Th  0.7498  0.6795  0.5006
Th  0.2502  0.3205  0.4994
Y  0.6296  0.0890  0.7400
Y  0.5000  0.5000  0.0000
Y  0.3704  0.9110  0.2600

b.
## La3Y3Th2 (GGA-PBE)

Data for crystalline La3Y3Th2 at its relaxed geometry.

Calculated values
SG   Immm, No. 71
V   34.08 A^3/atom
D(E_F)   1.506 states/eV/atom

Lattice parameters (Å, degrees): 5.0813 5.1403 11.0458 103.45 103.30 90.00
Positions (direct):
Th  0.7496  0.2496  0.4993
Th  0.2504  0.7504  0.5007
La  0.3694  0.3694  0.7388
La  0.6306  0.6306  0.2612
La  0.5000  0.0000  0.0000
Y  0.8704  0.8704  0.7408
Y  0.0000  0.5000  0.0000
Y  0.1296  0.1296  0.2592

Computed stability ranking, most favorable first: b, a

a.
## LaY6Th2 (GGA-PBE)

Data for crystalline LaY6Th2 at its relaxed geometry.

Calculated values
SG   P-6m2, No. 187
V   33.22 A^3/atom
D(E_F)   2.136 states/eV/atom

Lattice parameters (Å, degrees): 3.5990 3.5990 26.6515 90.00 90.00 120.00
Positions (direct):
Y  0.3333  0.6667  0.4375
Y  0.3333  0.6667  0.2206
Y  0.6667  0.3333  0.1141
Y  0.3333  0.6667  0.7794
Y  0.3333  0.6667  0.5625
Y  0.6667  0.3333  0.8859
Th  0.6667  0.3333  0.6685
Th  0.6667  0.3333  0.3315
La  0.3333  0.6667  0.0000

b.
## LaY6Th2 (GGA-PBE)

Data for crystalline LaY6Th2 at its relaxed geometry.

Calculated values
SG   C2/c, No. 15
V   33.55 A^3/atom
D(E_F)   1.667 states/eV/atom

Lattice parameters (Å, degrees): 6.7688 9.6394 9.6394 99.56 98.45 98.45
Positions (direct):
Y  0.0225  0.7397  0.3572
Y  0.8091  0.4457  0.0824
Y  0.4775  0.6428  0.2603
Y  0.3130  0.2553  0.0479
Y  0.6870  0.7447  0.9521
Y  0.3091  0.0824  0.4457
Y  0.6909  0.9176  0.5543
Y  0.8130  0.0479  0.2553
Y  0.9775  0.2603  0.6428
Y  0.1870  0.9521  0.7447
Y  0.5225  0.3572  0.7397
Y  0.1909  0.5543  0.9176
Th  0.1331  0.3854  0.3548
Th  0.3669  0.6452  0.6146
Th  0.6331  0.3548  0.3854
Th  0.8669  0.6146  0.6452
La  0.2500  0.9033  0.0967
La  0.7500  0.0967  0.9033

Computed stability ranking, most favorable first: a, b

a.
## LaY3Th (GGA-PBE)

Data for crystalline LaY3Th at its relaxed geometry.

Calculated values
SG   C2/m, No. 12
V   34.07 A^3/atom
D(E_F)   1.776 states/eV/atom

Lattice parameters (Å, degrees): 3.4523 9.2050 11.4130 73.30 90.00 100.81
Positions (direct):
Y  0.9930  0.9859  0.7310
Y  0.3023  0.6046  0.8595
Y  0.8020  0.6040  0.3676
Y  0.0070  0.0141  0.2690
Y  0.1980  0.3960  0.6324
Y  0.6977  0.3954  0.1405
La  0.9021  0.8042  0.0521
La  0.0979  0.1958  0.9479
Th  0.4003  0.8006  0.5414
Th  0.5997  0.1994  0.4586

b.
## LaY3Th (GGA-PBE)

Data for crystalline LaY3Th at its relaxed geometry.

Calculated values
SG   P-1, No. 2
V   33.54 A^3/atom
D(E_F)   1.669 states/eV/atom

Lattice parameters (Å, degrees): 6.9033 9.6870 8.5732 118.85 103.51 120.42
Positions (direct):
Y  0.6314  0.7772  0.3772
Y  0.3686  0.2228  0.6228
Y  0.1672  0.4112  0.4144
Y  0.9536  0.6153  0.2117
Y  0.8328  0.5888  0.5856
Y  0.0464  0.3847  0.7883
La  0.4184  0.9772  0.1754
La  0.5816  0.0228  0.8246
Th  0.2323  0.1740  0.9794
Th  0.7677  0.8260  0.0206

Computed stability ranking, most favorable first: b, a

a.
## La2ThZn (GGA-PBE)

Data for crystalline La2ThZn at its relaxed geometry.

Calculated values
SG   R-3m, No. 166
V   31.15 A^3/atom
D(E_F)   1.477 states/eV/atom

Lattice parameters (Å, degrees): 3.4932 3.4932 11.9633 81.61 81.61 60.00
Positions (direct):
Zn  0.5000  0.5000  0.5000
La  0.9022  0.9022  0.2935
La  0.0978  0.0978  0.7065
Th  0.0000  0.0000  0.0000

b.
## La2ThZn (GGA-PBE)

Data for crystalline La2ThZn at its relaxed geometry.

Calculated values
SG   P4/mmm, No. 123
V   30.12 A^3/atom
D(E_F)   0.912 states/eV/atom

Lattice parameters (Å, degrees): 3.6858 3.6858 8.8697 90.00 90.00 90.00
Positions (direct):
Th  0.5000  0.5000  0.5000
Zn  0.5000  0.5000  0.0000
La  0.0000  0.0000  0.7793
La  0.0000  0.0000  0.2207

c.
## La2ThZn (GGA-PBE)

Data for crystalline La2ThZn at its relaxed geometry.

Calculated values
SG   Cm, No. 8
V   31.41 A^3/atom
D(E_F)   1.695 states/eV/atom

Lattice parameters (Å, degrees): 3.6746 3.6746 10.9604 80.27 80.27 59.96
Positions (direct):
La  0.0741  0.0741  0.7771
La  0.2590  0.2590  0.2229
Th  0.5000  0.5000  0.5000
Zn  0.6669  0.6669  0.0001

Computed stability ranking, most favorable first: b, c, a

a.
## LaThZn (GGA-PBE)

Data for crystalline LaThZn at its relaxed geometry.

Calculated values
SG   P3m1, No. 156
V   27.56 A^3/atom
D(E_F)   0.718 states/eV/atom

Lattice parameters (Å, degrees): 3.7714 5.0318 5.0318 120.00 90.00 90.00
Positions (direct):
Th  0.0385  0.0000  0.0000
Zn  0.3094  0.3333  0.6667
La  0.6521  0.6667  0.3333

b.
## LaThZn (GGA-PBE)

Data for crystalline LaThZn at its relaxed geometry.

Calculated values
SG   I4mm, No. 107
V   28.84 A^3/atom
D(E_F)   1.188 states/eV/atom

Lattice parameters (Å, degrees): 3.7282 3.7282 6.7595 106.01 106.01 90.00
Positions (direct):
La  0.0167  0.0167  0.0335
Zn  0.6711  0.6711  0.3422
Th  0.3122  0.3122  0.6243

Computed stability ranking, most favorable first: b, a

a.
## La2ThZr (GGA-PBE)

Data for crystalline La2ThZr at its relaxed geometry.

Calculated values
SG   R-3m, No. 166
V   31.24 A^3/atom
D(E_F)   1.755 states/eV/atom

Lattice parameters (Å, degrees): 3.4491 3.4491 12.2922 81.93 81.93 60.00
Positions (direct):
La  0.0851  0.0851  0.7447
La  0.9149  0.9149  0.2553
Zr  0.0000  0.0000  0.0000
Th  0.5000  0.5000  0.5000

b.
## La2ThZr (GGA-PBE)

Data for crystalline La2ThZr at its relaxed geometry.

Calculated values
SG   P4/mmm, No. 123
V   31.24 A^3/atom
D(E_F)   2.010 states/eV/atom

Lattice parameters (Å, degrees): 5.2024 4.9006 4.9006 90.00 90.00 90.00
Positions (direct):
Zr  0.5000  0.5000  0.5000
La  0.0000  0.0000  0.5000
La  0.0000  0.5000  0.0000
Th  0.5000  0.0000  0.0000

c.
## La2ThZr (GGA-PBE)

Data for crystalline La2ThZr at its relaxed geometry.

Calculated values
SG   R3m, No. 160
V   31.09 A^3/atom
D(E_F)   1.490 states/eV/atom

Lattice parameters (Å, degrees): 3.5337 3.5337 11.6809 81.30 81.30 60.00
Positions (direct):
La  0.0863  0.0863  0.7412
La  0.2472  0.2472  0.2584
Th  0.6670  0.6670  0.9989
Zr  0.4995  0.4995  0.5014

Computed stability ranking, most favorable first: c, b, a

a.
## LaThZr (GGA-PBE)

Data for crystalline LaThZr at its relaxed geometry.

Calculated values
SG   P4/nmm, No. 129
V   30.44 A^3/atom
D(E_F)   1.324 states/eV/atom

Lattice parameters (Å, degrees): 3.7178 3.7178 13.2132 90.00 90.00 90.00
Positions (direct):
Zr  0.5000  0.0000  0.0634
Zr  0.0000  0.5000  0.9366
Th  0.0000  0.5000  0.2104
Th  0.5000  0.0000  0.7896
La  0.5000  0.0000  0.3854
La  0.0000  0.5000  0.6146

b.
## LaThZr (GGA-PBE)

Data for crystalline LaThZr at its relaxed geometry.

Calculated values
SG   I4mm, No. 107
V   29.86 A^3/atom
D(E_F)   1.197 states/eV/atom

Lattice parameters (Å, degrees): 3.4820 3.4820 7.7873 102.92 102.92 90.00
Positions (direct):
Th  0.6746  0.6746  0.3491
La  0.9975  0.9975  0.9950
Zr  0.3279  0.3279  0.6559

Computed stability ranking, most favorable first: a, b

a.
## La2TiTl2 (GGA-PBE)

Data for crystalline La2TiTl2 at its relaxed geometry.

Calculated values
SG   P4/mbm, No. 127
V   29.99 A^3/atom
D(E_F)   1.323 states/eV/atom

Lattice parameters (Å, degrees): 7.9313 7.9313 4.7682 90.00 90.00 90.00
Positions (direct):
Tl  0.6425  0.1425  0.0000
Tl  0.1425  0.3575  0.0000
Tl  0.8575  0.6425  0.0000
Tl  0.3575  0.8575  0.0000
La  0.6642  0.8358  0.5000
La  0.8358  0.3358  0.5000
La  0.1642  0.6642  0.5000
La  0.3358  0.1642  0.5000
Ti  0.0000  0.0000  0.0000
Ti  0.5000  0.5000  0.0000

b.
## La2TiTl2 (GGA-PBE)

Data for crystalline La2TiTl2 at its relaxed geometry.

Calculated values
SG   P4/mbm, No. 127
V   31.20 A^3/atom
D(E_F)   0.720 states/eV/atom

Lattice parameters (Å, degrees): 8.2581 8.2581 4.5748 90.00 90.00 90.00
Positions (direct):
Tl  0.1532  0.6532  0.5000
Tl  0.6532  0.8468  0.5000
Tl  0.8468  0.3468  0.5000
Tl  0.3468  0.1532  0.5000
La  0.1516  0.3484  0.0000
La  0.6516  0.1516  0.0000
La  0.3484  0.8484  0.0000
La  0.8484  0.6516  0.0000
Ti  0.5000  0.5000  0.0000
Ti  0.0000  0.0000  0.0000

Computed stability ranking, most favorable first: a, b